Record 1
The following is a DFT calculation (PBE) of a geometry-optimized Ga2NiSb structure.

Calculated values
Space-group type: No. 122
Density (g/cm³): 6.697
Density of states at the Fermi level (states/eV/atom): 0.522
Energy relative to the elements, uncorrected (eV per atom): 0.00
Spin magnetization (μB per cell): 0.0

Lattice parameters (Å, degrees): 4.4217 4.4217 8.6955 75.27 75.27 90.00
Atoms (fractional coordinates):
Sb 0.0000 0.0000 0.0000
Sb 0.7500 0.2500 0.5000
Ga 0.5277 0.1250 0.2500
Ga 0.2223 0.6250 0.2500
Ga 0.3750 0.4723 0.7500
Ga 0.8750 0.7777 0.7500
Ni 0.5000 0.5000 0.0000
Ni 0.2500 0.7500 0.5000

Record 2
The following is a DFT calculation (PBE) of a geometry-optimized GaNi4Sb structure.

Calculated values
Space-group type: No. 14
Density (g/cm³): 8.830
Density of states at the Fermi level (states/eV/atom): 0.708
Energy relative to the elements, uncorrected (eV per atom): -0.11
Offset from the most stable computed form (meV/atom): 47
Spin magnetization (μB per cell): 0.0

Lattice parameters (Å, degrees): 4.6673 7.1065 5.1804 90.00 68.92 90.00
Atoms (fractional coordinates):
Ga 0.5000 0.0000 0.5000
Ga 0.0000 0.5000 0.5000
Ni 0.9141 0.6593 0.1314
Ni 0.5859 0.1593 0.8686
Ni 0.5956 0.3340 0.3922
Ni 0.9044 0.8340 0.6078
Ni 0.0859 0.3407 0.8686
Ni 0.4141 0.8407 0.1314
Ni 0.4044 0.6660 0.6078
Ni 0.0956 0.1660 0.3922
Sb 0.0000 0.0000 0.0000
Sb 0.5000 0.5000 0.0000